Record 1
Material: Y2ZrRe
Method: DFT, GGA-PBE
State: optimized geometry

formation energy = 33 kJ per mole of atoms
E above lowest polymorph = 0.310 eV/atom
SG = No. 139

Cell lengths 5.8400, 5.8400, 5.8400 Å; angles 137.10, 137.10, 62.29 degrees
Fractional positions:
Y (0.5000, 0.5000, 0.0000)
Re (0.7500, 0.2500, 0.5000)
Y (0.0000, 0.0000, 0.0000)
Zr (0.2500, 0.7500, 0.5000)

Record 2
Material: SrSeCl2
Method: DFT, GGA-PBE
State: optimized geometry

ΔE_f (raw) = -1.13 eV/atom
E above lowest polymorph = 0.354 eV/atom
SG = No. 225

Cell lengths 5.2791, 5.2791, 5.2791 Å; angles 60.00, 60.00, 60.00 degrees
Fractional positions:
Cl (0.7500, 0.7500, 0.7500)
Cl (0.2500, 0.2500, 0.2500)
Se (0.0000, 0.0000, 0.0000)
Sr (0.5000, 0.5000, 0.5000)

Record 3
Material: TbNd6Mg
Method: DFT, GGA-PBE
State: optimized geometry

formation energy = 1 kJ per mole of atoms
E above lowest polymorph = 0.000 eV/atom
SG = No. 139

Cell lengths 10.8289, 10.8289, 10.8289 Å; angles 152.69, 152.69, 39.01 degrees
Fractional positions:
Nd (0.6213, 0.1213, 0.5000)
Nd (0.3787, 0.8787, 0.5000)
Nd (0.1213, 0.6213, 0.5000)
Mg (0.0000, 0.0000, 0.0000)
Nd (0.8787, 0.3787, 0.5000)
Nd (0.2517, 0.2517, 0.0000)
Tb (0.5000, 0.5000, 0.0000)
Nd (0.7483, 0.7483, 0.0000)

Record 4
Material: RbSiP3
Method: DFT, GGA-PBE
State: optimized geometry

ΔE_f (raw) = 0.49 eV/atom
E above lowest polymorph = 0.591 eV/atom
SG = No. 221

Cell lengths 4.7727, 4.7727, 4.7727 Å; angles 90.00, 90.00, 90.00 degrees
Fractional positions:
P (0.5000, 0.0000, 0.0000)
Si (0.0000, 0.0000, 0.0000)
P (0.0000, 0.5000, 0.0000)
Rb (0.5000, 0.5000, 0.5000)
P (0.0000, 0.0000, 0.5000)

Record 5
Material: CeBe2H8Rh
Method: DFT, GGA-PBE
State: optimized geometry

final energy = -4.128 eV per atom
SG = No. 148

Cell lengths 4.2459, 4.2459, 6.4610 Å; angles 70.82, 70.82, 60.00 degrees
Fractional positions:
H (0.6204, 0.2822, 0.1765)
H (0.0791, 0.3796, 0.8235)
Ce (0.5000, 0.5000, 0.5000)
H (0.7178, 0.0791, 0.8235)
Rh (0.0000, 0.0000, 0.0000)
Be (0.2686, 0.2686, 0.1941)
H (0.3796, 0.7178, 0.8235)
H (0.8155, 0.8155, 0.5534)
Be (0.7314, 0.7314, 0.8059)
H (0.1845, 0.1845, 0.4466)
H (0.9209, 0.6204, 0.1765)
H (0.2822, 0.9209, 0.1765)

Record 6
Material: Tl2GaHg2
Method: DFT, GGA-PBE
State: optimized geometry

formation energy = 2 kJ per mole of atoms
E above lowest polymorph = 0.000 eV/atom
SG = No. 12

Cell lengths 3.5913, 8.6665, 9.0131 Å; angles 89.01, 90.00, 101.96 degrees
Fractional positions:
Hg (0.0978, 0.1957, 0.5570)
Hg (0.9022, 0.8043, 0.4430)
Ga (0.3045, 0.6090, 0.9443)
Tl (0.7513, 0.5027, 0.6799)
Tl (0.4530, 0.9060, 0.7401)
Ga (0.6955, 0.3910, 0.0557)
Tl (0.5470, 0.0940, 0.2599)
Hg (0.9140, 0.8280, 0.0883)
Hg (0.0860, 0.1720, 0.9117)
Tl (0.2487, 0.4973, 0.3201)